(1)
DFT (GGA-PBE) results for crystalline Ba2Cd3GeAu4 at its relaxed geometry.

## Properties
- VASP energy: -2.89 eV per atom
- Calculated formation energy: -0.460 eV per atom

Cell lengths 4.9770, 4.9770, 10.6409 Å; angles 90.00, 90.00, 90.00 degrees
Space group P-4m2 (No. 115)
One atom of each set of equivalent atoms:
1 Ba 0.0000 0.5000 0.2467 x2
2 Cd 0.0000 0.5000 0.8739 x2
3 Cd 0.5000 0.5000 0.5000 x1
4 Ge 0.0000 0.0000 0.5000 x1
5 Au 0.0000 0.0000 0.0000 x1
6 Au 0.0000 0.5000 0.6134 x2
7 Au 0.5000 0.5000 0.0000 x1

=====

(2)
DFT (GGA-PBE) results for crystalline Ba2CdGe3Au12 at its relaxed geometry.

## Properties
- VASP energy: -3.30 eV per atom
- Calculated formation energy: -0.083 eV per atom

Cell lengths 8.9900, 8.9900, 21.0295 Å; angles 90.00, 90.00, 120.00 degrees
Space group R-3m (No. 166, hexagonal axes)
One atom of each set of equivalent atoms:
1 Ba 0.0000 0.0000 0.1085 x6
2 Cd 0.0000 0.0000 0.5000 x3
3 Ge 0.0000 0.5000 0.0000 x9
4 Au 0.0046 0.5023 0.1303 x18
5 Au 0.1002 0.5501 0.3888 x18

=====

(3)
DFT (GGA-PBE) results for crystalline Ba2Cd3Ge4Au at its relaxed geometry.

## Properties
- VASP energy: -3.18 eV per atom
- Calculated formation energy: -0.349 eV per atom

Cell lengths 4.7366, 4.7366, 11.3137 Å; angles 90.00, 90.00, 90.00 degrees
Space group P-4m2 (No. 115)
One atom of each set of equivalent atoms:
1 Ba 0.0000 0.5000 0.2446 x2
2 Cd 0.0000 0.0000 0.0000 x1
3 Cd 0.0000 0.5000 0.6335 x2
4 Ge 0.0000 0.0000 0.5000 x1
5 Ge 0.0000 0.5000 0.8742 x2
6 Ge 0.5000 0.5000 0.5000 x1
7 Au 0.5000 0.5000 0.0000 x1

=====

(4)
DFT (GGA-PBE) results for crystalline Ba2CdGe3Au4 at its relaxed geometry.

## Properties
- VASP energy: -3.67 eV per atom
- Calculated formation energy: -0.495 eV per atom

Cell lengths 4.7297, 4.7297, 10.8574 Å; angles 90.00, 90.00, 90.00 degrees
Space group P-4m2 (No. 115)
One atom of each set of equivalent atoms:
1 Ba 0.0000 0.5000 0.2427 x2
2 Cd 0.0000 0.0000 0.5000 x1
3 Ge 0.0000 0.5000 0.8788 x2
4 Ge 0.5000 0.5000 0.5000 x1
5 Au 0.0000 0.0000 0.0000 x1
6 Au 0.0000 0.5000 0.6376 x2
7 Au 0.5000 0.5000 0.0000 x1

=====

(5)
DFT (GGA-PBE) results for crystalline Ba2CdH6Au2 at its relaxed geometry.

## Properties
- VASP energy: -3.14 eV per atom

Cell lengths 10.9674, 5.0417, 7.5931 Å; angles 90.00, 117.41, 90.00 degrees
Space group C2/m (No. 12)
One atom of each set of equivalent atoms:
1 Ba 0.1911 0.0000 0.2132 x4
2 Cd 0.0000 0.0000 0.5000 x2
3 H 0.0746 0.2394 0.8448 x8
4 H 0.1973 0.5000 0.3717 x4
5 Au 0.0169 0.5000 0.3108 x4

=====

(6)
DFT (GGA-PBE) results for crystalline Ba2Cd4HgAu3 at its relaxed geometry.

## Properties
- VASP energy: -2.20 eV per atom
- Calculated formation energy: -0.433 eV per atom

Cell lengths 4.7962, 4.7962, 12.0093 Å; angles 90.00, 90.00, 90.00 degrees
Space group P-4m2 (No. 115)
One atom of each set of equivalent atoms:
1 Ba 0.0000 0.5000 0.2485 x2
2 Cd 0.0000 0.0000 0.0000 x1
3 Cd 0.0000 0.5000 0.6336 x2
4 Cd 0.5000 0.5000 0.0000 x1
5 Hg 0.0000 0.0000 0.5000 x1
6 Au 0.0000 0.5000 0.8658 x2
7 Au 0.5000 0.5000 0.5000 x1

=====

(7)
DFT (GGA-PBE) results for crystalline BaCdHg2Au at its relaxed geometry.

## Properties
- VASP energy: -1.58 eV per atom
- Calculated formation energy: -0.234 eV per atom
- Relative energy among the computed polymorphs: 0.89 eV per formula unit

Cell lengths 5.4318, 5.4318, 5.3418 Å; angles 90.00, 90.00, 90.00 degrees
Space group P4/mmm (No. 123)
One atom of each set of equivalent atoms:
1 Ba 0.0000 0.0000 0.0000 x1
2 Cd 0.5000 0.5000 0.0000 x1
3 Hg 0.0000 0.5000 0.5000 x2
4 Au 0.5000 0.5000 0.5000 x1

=====

(8)
DFT (GGA-PBE) results for crystalline Ba3Cd2Hg4Au2 at its relaxed geometry.

## Properties
- VASP energy: -1.84 eV per atom
- Calculated formation energy: -0.448 eV per atom

Cell lengths 5.0769, 5.0769, 15.6515 Å; angles 90.00, 90.00, 120.00 degrees
Space group P-3m1 (No. 164)
One atom of each set of equivalent atoms:
1 Ba 0.0000 0.0000 0.0000 x1
2 Ba 0.0000 0.0000 0.2675 x2
3 Cd 0.3333 0.6667 0.5814 x2
4 Hg 0.3333 0.6667 0.3945 x2
5 Hg 0.3333 0.6667 0.8642 x2
6 Au 0.3333 0.6667 0.1337 x2

=====

(9)
DFT (GGA-PBE) results for crystalline Ba2CdHg6Au at its relaxed geometry.

## Properties
- VASP energy: -1.19 eV per atom
- Calculated formation energy: -0.205 eV per atom

Cell lengths 10.9958, 10.9958, 10.9958 Å; angles 90.00, 90.00, 90.00 degrees
Space group Fm-3m (No. 225)
One atom of each set of equivalent atoms:
1 Ba 0.2500 0.2500 0.2500 x8
2 Cd 0.0000 0.0000 0.0000 x4
3 Hg 0.0000 0.0000 0.2522 x24
4 Au 0.0000 0.0000 0.5000 x4

=====

(10)
DFT (GGA-PBE) results for crystalline Ba4CdHgAu2 at its relaxed geometry.

## Properties
- VASP energy: -2.45 eV per atom
- Calculated formation energy: -0.518 eV per atom

Cell lengths 5.8364, 5.8364, 28.6304 Å; angles 90.00, 90.00, 120.00 degrees
Space group R-3m (No. 166, hexagonal axes)
One atom of each set of equivalent atoms:
1 Ba 0.0000 0.0000 0.1239 x6
2 Ba 0.0000 0.0000 0.3740 x6
3 Cd 0.0000 0.0000 0.5000 x3
4 Hg 0.0000 0.0000 0.0000 x3
5 Au 0.0000 0.0000 0.2480 x6

=====

(11)
DFT (GGA-PBE) results for crystalline Ba2Cd12HgAu3 at its relaxed geometry.

## Properties
- VASP energy: -1.39 eV per atom
- Calculated formation energy: -0.004 eV per atom

Cell lengths 10.1412, 10.1412, 19.3418 Å; angles 90.00, 90.00, 120.00 degrees
Space group R-3m (No. 166, hexagonal axes)
One atom of each set of equivalent atoms:
1 Ba 0.0000 0.0000 0.1051 x6
2 Cd 0.0008 0.5004 0.1415 x18
3 Cd 0.0300 0.5150 0.3151 x18
4 Hg 0.0000 0.0000 0.5000 x3
5 Au 0.0000 0.5000 0.0000 x9

=====

(12)
DFT (GGA-PBE) results for crystalline BaCdHgAu at its relaxed geometry.

## Properties
- VASP energy: -2.06 eV per atom
- Calculated formation energy: -0.457 eV per atom
- Relative energy among the computed polymorphs: 0.00 eV per formula unit

Cell lengths 8.6622, 5.0142, 6.1916 Å; angles 90.00, 117.98, 90.00 degrees
Space group Cm (No. 8)
One atom of each set of equivalent atoms:
1 Ba 0.0000 0.0000 0.0000 x2
2 Cd 0.0266 0.5000 0.5808 x2
3 Hg 0.2864 0.5000 0.3600 x2
4 Au 0.2093 0.0000 0.6294 x2

=====

(13)
DFT (GGA-PBE) results for crystalline BaCd4HgAu2 at its relaxed geometry.

## Properties
- VASP energy: -1.81 eV per atom
- Calculated formation energy: -0.255 eV per atom

Cell lengths 4.8207, 4.8207, 31.7146 Å; angles 90.00, 90.00, 120.00 degrees
Space group R-3m (No. 166, hexagonal axes)
One atom of each set of equivalent atoms:
1 Ba 0.0000 0.0000 0.0000 x3
2 Cd 0.0000 0.0000 0.1204 x6
3 Cd 0.0000 0.0000 0.4062 x6
4 Hg 0.0000 0.0000 0.5000 x3
5 Au 0.0000 0.0000 0.2605 x6

=====

(14)
DFT (GGA-PBE) results for crystalline Ba3Cd2HgAu6 at its relaxed geometry.

## Properties
- VASP energy: -2.73 eV per atom
- Calculated formation energy: -0.429 eV per atom

Cell lengths 6.7125, 6.7125, 9.0478 Å; angles 90.00, 90.00, 120.00 degrees
Space group P-3m1 (No. 164)
One atom of each set of equivalent atoms:
1 Ba 0.0000 0.0000 0.0000 x1
2 Ba 0.3333 0.6667 0.6305 x2
3 Cd 0.3333 0.6667 0.0338 x2
4 Hg 0.0000 0.0000 0.5000 x1
5 Au 0.1865 0.3730 0.2900 x6

=====

(15)
DFT (GGA-PBE) results for crystalline Ba2CdHg2Au4 at its relaxed geometry.

## Properties
- VASP energy: -2.52 eV per atom
- Calculated formation energy: -0.463 eV per atom

Cell lengths 7.1397, 7.1397, 9.7863 Å; angles 90.00, 90.00, 90.00 degrees
Space group I4/mmm (No. 139)
One atom of each set of equivalent atoms:
1 Ba 0.0000 0.5000 0.2500 x4
2 Cd 0.0000 0.0000 0.0000 x2
3 Hg 0.0000 0.0000 0.2990 x4
4 Au 0.2206 0.2206 0.5000 x8

=====

(16)
DFT (GGA-PBE) results for crystalline Ba2Cd6HgAu at its relaxed geometry.

## Properties
- VASP energy: -1.43 eV per atom
- Calculated formation energy: -0.137 eV per atom

Cell lengths 10.8620, 10.8620, 10.8620 Å; angles 90.00, 90.00, 90.00 degrees
Space group Fm-3m (No. 225)
One atom of each set of equivalent atoms:
1 Ba 0.2500 0.2500 0.2500 x8
2 Cd 0.0000 0.0000 0.2464 x24
3 Hg 0.0000 0.0000 0.5000 x4
4 Au 0.0000 0.0000 0.0000 x4

=====

(17)
DFT (GGA-PBE) results for crystalline BaCdHg2Au2 at its relaxed geometry.

## Properties
- VASP energy: -2.04 eV per atom
- Calculated formation energy: -0.372 eV per atom

Cell lengths 4.9403, 4.9403, 7.4617 Å; angles 90.00, 90.00, 120.00 degrees
Space group P-3m1 (No. 164)
One atom of each set of equivalent atoms:
1 Ba 0.0000 0.0000 0.0000 x1
2 Cd 0.0000 0.0000 0.5000 x1
3 Hg 0.3333 0.6667 0.2885 x2
4 Au 0.3333 0.6667 0.7042 x2

=====

(18)
DFT (GGA-PBE) results for crystalline Ba2Cd3HgAu4 at its relaxed geometry.

## Properties
- VASP energy: -2.47 eV per atom
- Calculated formation energy: -0.467 eV per atom

Cell lengths 5.0249, 5.0249, 10.8845 Å; angles 90.00, 90.00, 90.00 degrees
Space group P-4m2 (No. 115)
One atom of each set of equivalent atoms:
1 Ba 0.0000 0.5000 0.2382 x2
2 Cd 0.0000 0.5000 0.8832 x2
3 Cd 0.5000 0.5000 0.5000 x1
4 Hg 0.0000 0.0000 0.5000 x1
5 Au 0.0000 0.0000 0.0000 x1
6 Au 0.0000 0.5000 0.6306 x2
7 Au 0.5000 0.5000 0.0000 x1

=====

(19)
DFT (GGA-PBE) results for crystalline Ba2CdHg3Au4 at its relaxed geometry.

## Properties
- VASP energy: -2.31 eV per atom
- Calculated formation energy: -0.437 eV per atom

Cell lengths 4.9637, 4.9637, 11.2328 Å; angles 90.00, 90.00, 90.00 degrees
Space group P-4m2 (No. 115)
One atom of each set of equivalent atoms:
1 Ba 0.0000 0.5000 0.2361 x2
2 Cd 0.0000 0.0000 0.5000 x1
3 Hg 0.0000 0.5000 0.8745 x2
4 Hg 0.5000 0.5000 0.5000 x1
5 Au 0.0000 0.0000 0.0000 x1
6 Au 0.0000 0.5000 0.6274 x2
7 Au 0.5000 0.5000 0.0000 x1

=====

(20)
DFT (GGA-PBE) results for crystalline BaCdHg2Au4 at its relaxed geometry.

## Properties
- VASP energy: -2.33 eV per atom
- Calculated formation energy: -0.258 eV per atom

Cell lengths 4.8483, 4.8483, 28.9083 Å; angles 90.00, 90.00, 120.00 degrees
Space group R-3m (No. 166, hexagonal axes)
One atom of each set of equivalent atoms:
1 Ba 0.0000 0.0000 0.0000 x3
2 Cd 0.0000 0.0000 0.5000 x3
3 Hg 0.0000 0.0000 0.2471 x6
4 Au 0.0000 0.0000 0.1405 x6
5 Au 0.0000 0.0000 0.4002 x6